Entry 1:
AcCoC2 | PBE-GGA | optimized geometry

abc: 4.1237 3.8729 3.8729
angles: 72.98 90.00 90.00
Positions (direct):
Ac: 0.0000 0.0000 0.0000
Co: 0.5000 0.3836 0.3836
C: 0.5000 0.5411 0.8396
C: 0.5000 0.8396 0.5411

Properties
The calculation puts the formation energy at -0.14 eV/atom. The value obtained for the density of states at the Fermi level is 1.81 states/eV per cell. As for the density: 8.7 g/cm³.


Entry 2:
Ac2CoC4 | PBE-GGA | optimized geometry

abc: 7.2844 7.2844 7.2844
angles: 117.80 79.49 135.72
Positions (direct):
Ac: 0.1427 0.1816 0.3242
Ac: 0.3573 0.6816 0.0389
Ac: 0.6427 0.3184 0.9611
Ac: 0.8573 0.8184 0.6758
Co: 0.2500 0.7500 0.5000
Co: 0.7500 0.2500 0.5000
C: 0.0781 0.6565 0.7347
C: 0.1177 0.8260 0.9437
C: 0.3823 0.3260 0.7083
C: 0.4219 0.1565 0.5784
C: 0.5781 0.8435 0.4216
C: 0.6177 0.6740 0.2917
C: 0.8823 0.1740 0.0563
C: 0.9219 0.3435 0.2653

Properties
The calculation puts the formation energy at -0.02 eV/atom. The value obtained for the density of states at the Fermi level is 7.10 states/eV per cell. As for the density: 8.1 g/cm³.


> Among the records above, which one has the lowest density of states at the Fermi level?

AcCoC2


> Number 1 is which compound?

AcCoC2